Computed, not measured: crystalline Rb2NaMn2F7 at its relaxed geometry at the GGA+U level of DFT.

Results
Its total energy is -5.309 eV per atom. Its total magnetization is 10.0 μB per formula unit. For the density, the calculation gives 3.58 g/cm³. Its crystal system is tetragonal. Its density of states at the Fermi level is 0.0 states/eV per cell.

```
data_Rb2NaMn2F7
_chemical_formula_sum 'Rb4 Na2 Mn4 F14'
_cell_length_a 4.2563
_cell_length_b 4.2563
_cell_length_c 22.3666
_cell_angle_alpha 90.00
_cell_angle_beta 90.00
_cell_angle_gamma 90.00
_symmetry_space_group_name_H-M 'I 4/m m m'
_symmetry_Int_Tables_number 139
_symmetry_space_group_name_Hall '-I 4 2'
loop_
_atom_site_label
_atom_site_type_symbol
_atom_site_fract_x
_atom_site_fract_y
_atom_site_fract_z
_atom_site_occupancy
Rb1 Rb 0.0000 0.0000 0.1842 1
Na1 Na 0.0000 0.0000 0.0000 1
Mn1 Mn 0.0000 0.0000 0.4063 1
F1 F 0.0000 0.0000 0.3104 1
F2 F 0.0000 0.0000 0.5000 1
F3 F 0.0000 0.5000 0.0899 1
```